1.
Below is a relaxed Li2NdCd6 crystal, with properties calculated at the PBE-GGA level.

Calculated values
- total magnetic moment (μB per formula unit) = 0.00
- final energy (eV/atom) = -1.410
- polymorph energy (0 for the lowest one) (meV per atom) = 354
- ΔH_f (0 K) (eV per atom) = 0.155

Lattice parameters (Å, degrees): 8.7799 8.7799 8.7799 60.00 60.00 60.00
Sites, in units of the cell vectors:
Li (0.1250, 0.1250, 0.1250)
Li (0.1250, 0.6250, 0.1250)
Li (0.1250, 0.1250, 0.6250)
Li (0.6250, 0.1250, 0.1250)
Nd (0.5000, 0.5000, 0.5000)
Nd (0.7500, 0.7500, 0.7500)
Cd (0.2444, 0.2444, 0.7556)
Cd (0.7556, 0.7556, 0.2444)
Cd (0.2444, 0.7556, 0.2444)
Cd (0.2444, 0.7556, 0.7556)
Cd (0.4944, 0.4944, 0.0056)
Cd (0.4944, 0.0056, 0.0056)
Cd (0.7556, 0.2444, 0.7556)
Cd (0.0056, 0.0056, 0.4944)
Cd (0.4944, 0.0056, 0.4944)
Cd (0.0056, 0.4944, 0.4944)
Cd (0.7556, 0.2444, 0.2444)
Cd (0.0056, 0.4944, 0.0056)

2.
Below is a relaxed LiNd3Cd crystal, with properties calculated at the PBE-GGA level.

Calculated values
- total magnetic moment (μB per formula unit) = 0.00
- final energy (eV/atom) = -3.433
- ΔH_f (0 K) (eV per atom) = -0.006

Lattice parameters (Å, degrees): 6.2234 8.2228 12.1835 72.84 90.00 90.00
Sites, in units of the cell vectors:
Li (0.2523, 0.0568, 0.4393)
Li (0.7477, 0.9432, 0.5607)
Li (0.7523, 0.9432, 0.0607)
Li (0.2477, 0.0568, 0.9393)
Nd (0.1177, 0.8418, 0.2520)
Nd (0.8823, 0.1582, 0.7480)
Nd (0.6177, 0.1582, 0.2480)
Nd (0.3823, 0.8418, 0.7520)
Nd (0.6136, 0.7104, 0.3904)
Nd (0.3864, 0.2896, 0.6096)
Nd (0.1136, 0.2896, 0.1096)
Nd (0.8864, 0.7104, 0.8904)
Nd (0.1187, 0.6664, 0.5535)
Nd (0.8813, 0.3336, 0.4465)
Nd (0.6187, 0.3336, 0.9465)
Nd (0.3813, 0.6664, 0.0535)
Cd (0.8311, 0.5647, 0.1760)
Cd (0.1689, 0.4353, 0.8240)
Cd (0.3311, 0.4353, 0.3240)
Cd (0.6689, 0.5647, 0.6760)

3.
Below is a relaxed Li3Nd2Cd2 crystal, with properties calculated at the PBE-GGA level.

Calculated values
- total magnetic moment (μB per formula unit) = 0.00
- final energy (eV/atom) = -2.588
- ΔH_f (0 K) (eV per atom) = -0.144

Lattice parameters (Å, degrees): 4.8798 6.0043 6.9242 110.42 90.00 113.98
Sites, in units of the cell vectors:
Li (0.5000, 0.0000, 0.0000)
Li (0.6117, 0.2235, 0.4326)
Li (0.3883, 0.7765, 0.5674)
Nd (0.8500, 0.6999, 0.2305)
Nd (0.1500, 0.3001, 0.7695)
Cd (0.8582, 0.7164, 0.7677)
Cd (0.1418, 0.2836, 0.2323)